# FeIrRh2O8

A geometry-optimized FeIrRh2O8 structure (PBE+U, Alexandria).

Values from the calculation:
uncorrected energy: -6.63 eV per atom
DOS at the Fermi energy: 6.7 states/eV/cell
spin magnetization: 0.37 μB per atom

Lattice parameters (Å, degrees): 4.566 4.566 6.264 90.00 90.00 90.09
Element x y z (fractional)
Fe  0.000  0.000  0.000
Ir  0.000  0.000  0.500
Rh  0.500  0.500  0.249
Rh  0.500  0.500  0.751
O  0.193  0.807  0.253
O  0.193  0.807  0.747
O  0.301  0.301  0.500
O  0.308  0.308  0.000
O  0.692  0.692  0.000
O  0.699  0.699  0.500
O  0.807  0.193  0.253
O  0.807  0.193  0.747